Sm2InCu2Pd5 | PBE | relaxed

POSCAR file:
```
Sm2InCu2Pd5
1.0
3.915 0.000 0.000
0.000 9.604 0.000
0.000 0.000 9.604
Cu Sm Pd In
4 4 10 2
direct
0.000 0.622 0.878 Cu
0.000 0.378 0.122 Cu
0.000 0.878 0.378 Cu
0.000 0.122 0.622 Cu
0.000 0.825 0.675 Sm
0.000 0.325 0.825 Sm
0.000 0.675 0.175 Sm
0.000 0.175 0.325 Sm
0.500 0.000 0.500 Pd
0.500 0.932 0.208 Pd
0.500 0.568 0.708 Pd
0.500 0.432 0.292 Pd
0.500 0.292 0.568 Pd
0.500 0.500 0.000 Pd
0.500 0.208 0.068 Pd
0.500 0.792 0.932 Pd
0.500 0.068 0.792 Pd
0.500 0.708 0.432 Pd
0.000 0.000 0.000 In
0.000 0.500 0.500 In
```

Results
E	-105.7	eV per cell
magnetic moment	0.0	μB per formula unit
calculated formation energy	-0.651	eV/atom
Fermi-level density of states	6.75	states/eV/cell